1.
Density functional theory data (GGA-PBE) for Ce5PuSe8 after structural relaxation.

Cell lengths 8.891, 8.891, 8.897 Å; angles 90.00, 90.00, 90.00 degrees
Space group I-4 (No. 82)
Inequivalent atoms, fractional coordinates:
Ce (0.000, 0.000, 0.000)
Ce (0.125, 0.750, 0.376)
Pu (0.000, 0.500, 0.750)
Se (0.074, 0.824, 0.702)
Se (0.076, 0.674, 0.049)

Values from the calculation:
Raw total energy, eV/atom: -6.927
Size of the total moment, μB/cell: 20.03
V, A^3/atom: 25.1
Energy relative to the elements, uncorrected, eV per atom: -1.7931

---

2.
Density functional theory data (GGA-PBE) for CePuSe3 after structural relaxation.

Cell lengths 4.146, 6.955, 9.117 Å; angles 90.00, 90.00, 90.00 degrees
Space group Pmmn (No. 59, origin choice 2)
Inequivalent atoms, fractional coordinates:
Ce (0.250, 0.250, 0.154)
Pu (0.250, 0.750, 0.402)
Se (0.250, 0.519, 0.674)
Se (0.250, 0.750, 0.067)

Values from the calculation:
Raw total energy, eV/atom: -7.776
Size of the total moment, μB/cell: 12.00
V, A^3/atom: 26.3
Excess energy over the best structure of this formula in the dataset, meV per atom: 46.1
Energy relative to the elements, uncorrected, eV per atom: -1.6320

---

3.
Density functional theory data (GGA-PBE) for Ce4SmPu3Se8 after structural relaxation.

Cell lengths 8.3531, 8.3531, 20.5351 Å; angles 90.00, 90.00, 120.00 degrees
Space group R-3m (No. 166, hexagonal axes)
Inequivalent atoms, fractional coordinates:
Ce (0.0000, 0.0000, 0.0000)
Ce (0.0000, 0.5000, 0.0000)
Sm (0.0000, 0.0000, 0.5000)
Pu (0.0000, 0.5000, 0.5000)
Se (0.0000, 0.0000, 0.2476)
Se (0.0017, 0.5008, 0.7518)

Values from the calculation:
Raw total energy, eV/atom: -7.923
Size of the total moment, μB/cell: 64.10
V, A^3/atom: 25.9
Energy relative to the elements, uncorrected, eV per atom: -1.7151

---

4.
Density functional theory data (GGA-PBE) for CeSmPu2Se4 after structural relaxation.

Cell lengths 7.156, 4.126, 7.199 Å; angles 90.00, 90.05, 90.00 degrees
Space group P2/m (No. 10)
Inequivalent atoms, fractional coordinates:
Ce (0.000, 0.000, 0.000)
Sm (0.500, 0.500, 0.000)
Pu (0.000, 0.000, 0.500)
Pu (0.500, 0.500, 0.500)
Se (0.170, 0.500, 0.745)
Se (0.336, 0.000, 0.252)

Values from the calculation:
Raw total energy, eV/atom: -8.208
Size of the total moment, μB/cell: 13.07
V, A^3/atom: 26.6
Energy relative to the elements, uncorrected, eV per atom: -1.5511

---

5.
Density functional theory data (GGA-PBE) for Ce3Sm3PuSe8 after structural relaxation.

Cell lengths 8.3402, 8.3402, 20.6322 Å; angles 90.00, 90.00, 120.00 degrees
Space group R-3m (No. 166, hexagonal axes)
Inequivalent atoms, fractional coordinates:
Ce (0.0000, 0.5000, 0.0000)
Sm (0.0000, 0.5000, 0.5000)
Pu (0.0000, 0.0000, 0.5000)
Se (0.0000, 0.0000, 0.2489)
Se (0.0025, 0.5013, 0.7507)

Values from the calculation:
Raw total energy, eV/atom: -6.755
Size of the total moment, μB/cell: 9.09
V, A^3/atom: 27.6
Energy relative to the elements, uncorrected, eV per atom: -1.8104

---

6.
Density functional theory data (GGA-PBE) for Ce2SmPu3Se6 after structural relaxation.

Cell lengths 18.170, 4.163, 8.361 Å; angles 90.00, 103.16, 90.00 degrees
Space group C2/m (No. 12)
Inequivalent atoms, fractional coordinates:
Ce (0.166, 0.000, 0.332)
Sm (0.000, 0.500, 0.000)
Pu (0.000, 0.500, 0.500)
Pu (0.167, 0.000, 0.833)
Se (0.002, 0.000, 0.749)
Se (0.165, 0.500, 0.587)
Se (0.167, 0.500, 0.079)

Values from the calculation:
Raw total energy, eV/atom: -8.392
Size of the total moment, μB/cell: 38.60
V, A^3/atom: 25.7
Energy relative to the elements, uncorrected, eV per atom: -1.6846

---

7.
Density functional theory data (GGA-PBE) for CeSm2PuSe4 after structural relaxation.

Cell lengths 7.213, 4.156, 7.273 Å; angles 90.00, 109.23, 90.00 degrees
Space group P2/m (No. 10)
Inequivalent atoms, fractional coordinates:
Ce (0.000, 0.000, 0.000)
Sm (0.000, 0.500, 0.500)
Sm (0.500, 0.000, 0.500)
Pu (0.500, 0.500, 0.000)
Se (0.253, 0.000, 0.751)
Se (0.253, 0.500, 0.251)

Values from the calculation:
Raw total energy, eV/atom: -7.219
Size of the total moment, μB/cell: 6.81
V, A^3/atom: 25.7
Energy relative to the elements, uncorrected, eV per atom: -1.7635

---

8.
Density functional theory data (GGA-PBE) for Tb3Ce2PuSe6 after structural relaxation.

Cell lengths 18.103, 4.117, 8.331 Å; angles 90.00, 103.95, 90.00 degrees
Space group C2/m (No. 12)
Inequivalent atoms, fractional coordinates:
Tb (0.000, 0.000, 0.000)
Tb (0.167, 0.500, 0.334)
Ce (0.167, 0.500, 0.834)
Pu (0.000, 0.000, 0.500)
Se (0.002, 0.500, 0.248)
Se (0.164, 0.000, 0.089)
Se (0.167, 0.000, 0.577)

Values from the calculation:
Raw total energy, eV/atom: -6.851
Size of the total moment, μB/cell: 15.95
V, A^3/atom: 25.1
Energy relative to the elements, uncorrected, eV per atom: -1.7682

---

9.
Density functional theory data (GGA-PBE) for Tb2CePu3Se6 after structural relaxation.

Cell lengths 18.046, 4.128, 8.306 Å; angles 90.00, 103.34, 90.00 degrees
Space group C2/m (No. 12)
Inequivalent atoms, fractional coordinates:
Tb (0.168, 0.000, 0.336)
Ce (0.000, 0.500, 0.000)
Pu (0.000, 0.500, 0.500)
Pu (0.165, 0.000, 0.834)
Se (0.002, 0.000, 0.256)
Se (0.167, 0.500, 0.582)
Se (0.169, 0.500, 0.088)

Values from the calculation:
Raw total energy, eV/atom: -8.272
Size of the total moment, μB/cell: 36.85
V, A^3/atom: 25.1
Energy relative to the elements, uncorrected, eV per atom: -1.6804

---

10.
Density functional theory data (GGA-PBE) for TbCe2PuSe5 after structural relaxation.

Cell lengths 5.149, 5.149, 10.984 Å; angles 90.00, 90.00, 90.00 degrees
Space group P4/mmm (No. 123)
Inequivalent atoms, fractional coordinates:
Tb (0.000, 0.000, 0.000)
Ce (0.500, 0.500, 0.203)
Pu (0.000, 0.000, 0.500)
Se (0.000, 0.000, 0.252)
Se (0.000, 0.500, 0.000)
Se (0.500, 0.500, 0.500)

Values from the calculation:
Raw total energy, eV/atom: -6.578
Size of the total moment, μB/cell: 8.94
V, A^3/atom: 32.4
Energy relative to the elements, uncorrected, eV per atom: -1.2170

---

11.
Density functional theory data (GGA-PBE) for TbCe3Pu2Se6 after structural relaxation.

Cell lengths 7.200, 12.479, 7.245 Å; angles 90.00, 109.35, 90.00 degrees
Space group C2/m (No. 12)
Inequivalent atoms, fractional coordinates:
Tb (0.000, 0.000, 0.000)
Ce (0.000, 0.167, 0.500)
Ce (0.000, 0.500, 0.500)
Pu (0.000, 0.334, 0.000)
Se (0.247, 0.166, 0.242)
Se (0.249, 0.500, 0.244)

Values from the calculation:
Raw total energy, eV/atom: -7.723
Size of the total moment, μB/cell: 28.97
V, A^3/atom: 25.6
Energy relative to the elements, uncorrected, eV per atom: -1.7223

---

12.
Density functional theory data (GGA-PBE) for TbCe2Pu3Se6 after structural relaxation.

Cell lengths 17.289, 3.725, 9.442 Å; angles 90.00, 107.01, 90.00 degrees
Space group C2/m (No. 12)
Inequivalent atoms, fractional coordinates:
Tb (0.000, 0.000, 0.000)
Ce (0.165, 0.000, 0.338)
Pu (0.000, 0.000, 0.500)
Pu (0.161, 0.000, 0.833)
Se (0.001, 0.500, 0.244)
Se (0.156, 0.500, 0.585)
Se (0.162, 0.500, 0.083)

Values from the calculation:
Raw total energy, eV/atom: -8.138
Size of the total moment, μB/cell: 32.17
V, A^3/atom: 24.2
Energy relative to the elements, uncorrected, eV per atom: -1.4375

---

13.
Density functional theory data (GGA-PBE) for Tb2Ce3PuSe6 after structural relaxation.

Cell lengths 7.166, 12.445, 7.228 Å; angles 90.00, 109.38, 90.00 degrees
Space group C2/m (No. 12)
Inequivalent atoms, fractional coordinates:
Tb (0.000, 0.167, 0.000)
Ce (0.000, 0.000, 0.500)
Ce (0.000, 0.334, 0.500)
Pu (0.000, 0.500, 0.000)
Se (0.245, 0.000, 0.241)
Se (0.248, 0.333, 0.242)

Values from the calculation:
Raw total energy, eV/atom: -6.961
Size of the total moment, μB/cell: 9.80
V, A^3/atom: 25.3
Energy relative to the elements, uncorrected, eV per atom: -1.7697

---

14.
Density functional theory data (GGA-PBE) for TbCePu2Se4 after structural relaxation.

Cell lengths 7.155, 4.138, 7.221 Å; angles 90.00, 109.48, 90.00 degrees
Space group P2/m (No. 10)
Inequivalent atoms, fractional coordinates:
Tb (0.000, 0.000, 0.000)
Ce (0.000, 0.500, 0.500)
Pu (0.500, 0.000, 0.500)
Pu (0.500, 0.500, 0.000)
Se (0.249, 0.500, 0.246)
Se (0.252, 0.000, 0.756)

Values from the calculation:
Raw total energy, eV/atom: -8.315
Size of the total moment, μB/cell: 0.70
V, A^3/atom: 25.2
Energy relative to the elements, uncorrected, eV per atom: -1.6693

---

15.
Density functional theory data (GGA-PBE) for Tb2CePuSe4 after structural relaxation.

Cell lengths 7.129, 4.110, 7.229 Å; angles 90.00, 109.13, 90.00 degrees
Space group P2/m (No. 10)
Inequivalent atoms, fractional coordinates:
Tb (0.000, 0.000, 0.000)
Tb (0.500, 0.500, 0.000)
Ce (0.000, 0.500, 0.500)
Pu (0.500, 0.000, 0.500)
Se (0.250, 0.500, 0.244)
Se (0.255, 0.000, 0.758)

Values from the calculation:
Raw total energy, eV/atom: -7.179
Size of the total moment, μB/cell: 6.90
V, A^3/atom: 25.0
Energy relative to the elements, uncorrected, eV per atom: -1.7462

---

16.
Density functional theory data (GGA-PBE) for Ce3PuTh3Se8 after structural relaxation.

Cell lengths 8.3640, 8.3640, 20.5027 Å; angles 90.00, 90.00, 120.00 degrees
Space group R-3m (No. 166, hexagonal axes)
Inequivalent atoms, fractional coordinates:
Ce (0.0000, 0.5000, 0.0000)
Pu (0.0000, 0.0000, 0.5000)
Th (0.0000, 0.5000, 0.5000)
Se (0.0000, 0.0000, 0.2511)
Se (0.0033, 0.5017, 0.7490)

Values from the calculation:
Raw total energy, eV/atom: -7.180
Size of the total moment, μB/cell: 25.82
V, A^3/atom: 27.6
Energy relative to the elements, uncorrected, eV per atom: -1.6953

---

17.
Density functional theory data (GGA-PBE) for CePuTh2Se4 after structural relaxation.

Cell lengths 7.259, 4.161, 7.260 Å; angles 90.00, 109.22, 90.00 degrees
Space group P2/m (No. 10)
Inequivalent atoms, fractional coordinates:
Ce (0.000, 0.000, 0.000)
Pu (0.500, 0.500, 0.000)
Th (0.000, 0.500, 0.500)
Th (0.500, 0.000, 0.500)
Se (0.251, 0.500, 0.245)
Se (0.255, 0.000, 0.757)

Values from the calculation:
Raw total energy, eV/atom: -7.748
Size of the total moment, μB/cell: 5.02
V, A^3/atom: 25.9
Energy relative to the elements, uncorrected, eV per atom: -1.6177

---

18.
Density functional theory data (GGA-PBE) for Ce2PuTh3Se6 after structural relaxation.

Cell lengths 18.326, 4.181, 8.392 Å; angles 90.00, 104.14, 90.00 degrees
Space group C2/m (No. 12)
Inequivalent atoms, fractional coordinates:
Ce (0.167, 0.000, 0.335)
Pu (0.000, 0.500, 0.000)
Th (0.000, 0.500, 0.500)
Th (0.167, 0.000, 0.834)
Se (0.001, 0.000, 0.244)
Se (0.164, 0.500, 0.085)
Se (0.167, 0.500, 0.582)

Values from the calculation:
Raw total energy, eV/atom: -7.420
Size of the total moment, μB/cell: 13.73
V, A^3/atom: 26.0
Energy relative to the elements, uncorrected, eV per atom: -1.6397

---

19.
Density functional theory data (GGA-PBE) for Ce4Pu3ThSe8 after structural relaxation.

Cell lengths 8.3539, 8.3539, 20.5131 Å; angles 90.00, 90.00, 120.00 degrees
Space group R-3m (No. 166, hexagonal axes)
Inequivalent atoms, fractional coordinates:
Ce (0.0000, 0.0000, 0.0000)
Ce (0.0000, 0.5000, 0.0000)
Pu (0.0000, 0.5000, 0.5000)
Th (0.0000, 0.0000, 0.5000)
Se (0.0000, 0.0000, 0.2477)
Se (0.0043, 0.5022, 0.7513)

Values from the calculation:
Raw total energy, eV/atom: -8.057
Size of the total moment, μB/cell: 61.29
V, A^3/atom: 25.8
Energy relative to the elements, uncorrected, eV per atom: -1.6799

---

20.
Density functional theory data (GGA-PBE) for Ce3Pu2ThSe6 after structural relaxation.

Cell lengths 18.235, 4.178, 8.379 Å; angles 90.00, 103.35, 90.00 degrees
Space group C2/m (No. 12)
Inequivalent atoms, fractional coordinates:
Ce (0.000, 0.000, 0.000)
Ce (0.165, 0.500, 0.333)
Pu (0.166, 0.500, 0.833)
Th (0.000, 0.000, 0.500)
Se (0.002, 0.500, 0.753)
Se (0.168, 0.000, 0.589)
Se (0.169, 0.000, 0.080)

Values from the calculation:
Raw total energy, eV/atom: -7.912
Size of the total moment, μB/cell: 28.23
V, A^3/atom: 25.9
Energy relative to the elements, uncorrected, eV per atom: -1.6794

---

21.
Density functional theory data (GGA-PBE) for Ce3PuTh2Se6 after structural relaxation.

Cell lengths 7.248, 12.533, 7.279 Å; angles 90.00, 109.35, 90.00 degrees
Space group C2/m (No. 12)
Inequivalent atoms, fractional coordinates:
Ce (0.000, 0.000, 0.000)
Ce (0.000, 0.332, 0.000)
Pu (0.000, 0.500, 0.500)
Th (0.000, 0.166, 0.500)
Se (0.245, 0.500, 0.249)
Se (0.247, 0.336, 0.749)

Values from the calculation:
Raw total energy, eV/atom: -7.342
Size of the total moment, μB/cell: 16.04
V, A^3/atom: 26.0
Energy relative to the elements, uncorrected, eV per atom: -1.6849